# 1
The following is a DFT calculation (GGA-PBE) of a relaxed Ti2NbHgSb crystal.

Properties
For the density of states at the Fermi level, the calculation gives 3.53 states/eV per cell. Its formation energy (no corrections) is 1.27 eV/atom. For the volume, the calculation gives 25.391 A^3/atom. The calculation puts the total energy at -4.7845 eV per atom.

```
Ti2NbHgSb
1.0
4.960 0.000 0.000
0.000 4.960 0.000
0.000 0.000 5.160
Ti Nb Hg Sb
2 1 1 1
direct
0.000 0.500 0.000 Ti
0.500 0.000 0.000 Ti
0.000 0.000 0.500 Nb
0.500 0.500 0.500 Hg
0.500 0.500 0.000 Sb
```

=====

# 2
The following is a DFT calculation (GGA-PBE) of a relaxed HfSiN2 crystal.

Properties
For the density of states at the Fermi level, the calculation gives 4.25 states/eV per cell. Its formation energy (no corrections) is -0.76 eV/atom. For the volume, the calculation gives 11.810 A^3/atom. The calculation puts the total energy at -8.7692 eV per atom.

```
HfSiN2
1.0
-2.340 2.340 4.315
2.340 -2.340 4.315
2.340 2.340 -4.315
Hf Si N
2 2 4
direct
0.000 0.000 0.000 Hf
0.750 0.250 0.500 Hf
0.250 0.750 0.500 Si
0.500 0.500 0.000 Si
0.199 0.625 0.074 N
0.375 0.449 0.574 N
0.551 0.125 0.926 N
0.875 0.801 0.426 N
```

=====

# 3
The following is a DFT calculation (GGA-PBE) of a relaxed Sm3PuSe6 crystal.

Properties
For the density of states at the Fermi level, the calculation gives 23.85 states/eV per cell. Its formation energy (no corrections) is -1.75 eV/atom. For the volume, the calculation gives 28.057 A^3/atom. The calculation puts the total energy at -6.6872 eV per atom.

```
Sm3PuSe6
1.0
11.767 0.000 0.000
0.000 4.193 0.000
-3.860 0.000 11.373
Sm Pu Se
6 2 12
direct
0.072 0.250 0.167 Sm
0.180 0.750 0.503 Sm
0.342 0.250 0.919 Sm
0.658 0.750 0.081 Sm
0.820 0.250 0.497 Sm
0.928 0.750 0.833 Sm
0.456 0.250 0.313 Pu
0.544 0.750 0.687 Pu
0.019 0.250 0.384 Se
0.101 0.250 0.933 Se
0.250 0.750 0.279 Se
0.310 0.750 0.750 Se
0.388 0.250 0.539 Se
0.417 0.750 0.102 Se
0.583 0.250 0.898 Se
0.612 0.750 0.461 Se
0.690 0.250 0.250 Se
0.750 0.250 0.721 Se
0.899 0.750 0.067 Se
0.981 0.750 0.616 Se
```

=====

# 4
The following is a DFT calculation (GGA-PBE) of a relaxed InIr2W crystal.

Properties
For the density of states at the Fermi level, the calculation gives 3.32 states/eV per cell. Its formation energy is 0.144 eV/atom. For the volume, the calculation gives 16.289 A^3/atom. The calculation puts the total energy at -8.2092 eV per atom.

```
InIr2W
1.0
4.597 -1.425 0.000
4.597 1.425 0.000
-0.792 0.000 4.974
In Ir W
1 2 1
direct
0.000 0.000 0.000 In
0.246 0.246 0.731 Ir
0.754 0.754 0.269 Ir
0.500 0.500 0.500 W
```

=====

# 5
The following is a DFT calculation (GGA-PBE) of a relaxed Pr2Sm6Ho crystal.

Properties
For the density of states at the Fermi level, the calculation gives 23.62 states/eV per cell. Its formation energy is 0.085 eV/atom. For the volume, the calculation gives 33.842 A^3/atom. The calculation puts the total energy at -4.6315 eV per atom.

```
Pr2Sm6Ho
1.0
8.482 -5.903 0.000
8.482 5.903 0.000
-0.727 0.000 6.083
Pr Sm Ho
4 12 2
direct
0.009 0.319 0.084 Pr
0.319 0.009 0.584 Pr
0.681 0.991 0.416 Pr
0.991 0.681 0.916 Pr
0.049 0.827 0.456 Sm
0.160 0.380 0.622 Sm
0.173 0.951 0.044 Sm
0.288 0.506 0.216 Sm
0.380 0.160 0.122 Sm
0.494 0.712 0.284 Sm
0.506 0.288 0.716 Sm
0.620 0.840 0.878 Sm
0.712 0.494 0.784 Sm
0.827 0.049 0.956 Sm
0.840 0.620 0.378 Sm
0.951 0.173 0.544 Sm
0.354 0.646 0.750 Ho
0.646 0.354 0.250 Ho
```

=====

# 6
The following is a DFT calculation (GGA-PBE) of a relaxed CoWS2Cl crystal.

Properties
For the density of states at the Fermi level, the calculation gives 4.74 states/eV per cell. Its formation energy (no corrections) is 0.90 eV/atom. For the volume, the calculation gives 17.202 A^3/atom. The calculation puts the total energy at -5.1304 eV per atom.

```
CoWS2Cl
1.0
4.470 0.000 0.000
0.000 4.470 0.000
0.000 0.000 4.304
Co W S Cl
1 1 2 1
direct
0.000 0.000 0.000 Co
0.500 0.500 0.500 W
0.000 0.500 0.000 S
0.500 0.000 0.000 S
0.000 0.000 0.500 Cl
```

=====

# 7
The following is a DFT calculation (GGA-PBE) of a relaxed BaRuBr4 crystal.

Properties
For the density of states at the Fermi level, the calculation gives 13.28 states/eV per cell. Its formation energy (no corrections) is 0.28 eV/atom. For the volume, the calculation gives 31.669 A^3/atom. The calculation puts the total energy at -2.7047 eV per atom.

```
BaRuBr4
1.0
0.000 4.563 4.563
4.563 0.000 4.563
4.563 4.563 0.000
Ba Ru Br
1 1 4
direct
0.000 0.000 0.000 Ba
0.250 0.250 0.250 Ru
0.127 0.624 0.624 Br
0.624 0.127 0.624 Br
0.624 0.624 0.127 Br
0.624 0.624 0.624 Br
```

=====

# 8
The following is a DFT calculation (GGA-PBE) of a relaxed AlTl2Cd crystal.

Properties
For the density of states at the Fermi level, the calculation gives 1.68 states/eV per cell. Its formation energy is 0.194 eV/atom. For the volume, the calculation gives 25.746 A^3/atom. The calculation puts the total energy at -2.1536 eV per atom.

```
AlTl2Cd
1.0
3.293 0.000 0.000
0.000 4.524 0.000
-0.122 0.000 6.913
Al Tl Cd
1 2 1
direct
0.000 0.000 0.000 Al
0.491 0.500 0.243 Tl
0.509 0.500 0.757 Tl
0.000 0.000 0.500 Cd
```

=====

# 9
The following is a DFT calculation (GGA-PBE) of a relaxed MnW2Au crystal.

Properties
For the density of states at the Fermi level, the calculation gives 6.65 states/eV per cell. Its formation energy is 0.778 eV/atom. For the volume, the calculation gives 17.207 A^3/atom. The calculation puts the total energy at -8.8103 eV per atom.

```
MnW2Au
1.0
-1.877 1.877 9.764
1.877 -1.877 9.764
1.877 1.877 -9.764
Mn W Au
2 4 2
direct
0.000 0.000 0.000 Mn
0.750 0.250 0.500 Mn
0.113 0.625 0.988 W
0.375 0.363 0.488 W
0.637 0.125 0.012 W
0.875 0.887 0.512 W
0.250 0.750 0.500 Au
0.500 0.500 0.000 Au
```

=====

# 10
The following is a DFT calculation (GGA-PBE) of a relaxed YIrRuO6 crystal.

Properties
For the density of states at the Fermi level, the calculation gives 14.45 states/eV per cell. Its formation energy (no corrections) is -1.42 eV/atom. For the volume, the calculation gives 11.774 A^3/atom. The calculation puts the total energy at -7.4614 eV per atom.

```
YIrRuO6
1.0
5.280 0.000 0.000
-2.640 4.573 0.000
0.000 0.000 8.778
Y Ir Ru O
2 2 2 12
direct
0.333 0.667 0.250 Y
0.667 0.333 0.750 Y
0.333 0.667 0.750 Ir
0.667 0.333 0.250 Ir
0.000 0.000 0.000 Ru
0.000 0.000 0.500 Ru
0.032 0.338 0.619 O
0.032 0.694 0.881 O
0.306 0.338 0.881 O
0.306 0.968 0.619 O
0.338 0.032 0.119 O
0.338 0.306 0.381 O
0.662 0.694 0.619 O
0.662 0.968 0.881 O
0.694 0.032 0.381 O
0.694 0.662 0.119 O
0.968 0.306 0.119 O
0.968 0.662 0.381 O
```